(1)
{
  "formula": "GaPt3Cl",
  "functional": "GGA-PBE",
  "state": "optimized geometry",
  "space_group": "No. 221",
  "formation_energy_uncorrected_ev_per_atom": 0.893,
  "dos_at_fermi_per_ev_cell": 1.3,
  "final_energy_ev_per_atom": -3.7059,
  "m_tot_mub_per_cell": 0.0,
  "lattice": [[-0.2493, -3.5656, -2.9146], [3.9986, -1.6156, 1.6344], [-2.2846, -2.4386, 3.1787]],
  "species": ["Pt", "Cl", "Pt", "Pt", "Ga"],
  "fractional_positions": [[0.0000, 0.0000, 0.5000], [0.0000, 0.0000, 0.0000], [0.0000, 0.5000, 0.0000], [0.5000, 0.0000, 0.0000], [0.5000, 0.5000, 0.5000]]
}

---

(2)
{
  "formula": "Ga2PtCl",
  "functional": "GGA-PBE",
  "state": "optimized geometry",
  "space_group": "No. 122",
  "formation_energy_uncorrected_ev_per_atom": -0.370,
  "dos_at_fermi_per_ev_cell": 2.1,
  "final_energy_ev_per_atom": -3.8555,
  "m_tot_mub_per_cell": 0.0,
  "lattice": [[6.0720, 0.0000, 0.0000], [0.0000, 6.0720, 0.0000], [3.0360, 3.0360, 5.8402]],
  "species": ["Ga", "Ga", "Pt", "Ga", "Ga", "Cl", "Cl", "Pt"],
  "fractional_positions": [[0.0704, 0.6250, 0.2500], [0.6796, 0.1250, 0.2500], [0.7500, 0.2500, 0.5000], [0.3750, 0.3204, 0.7500], [0.8750, 0.9296, 0.7500], [0.2500, 0.7500, 0.5000], [0.5000, 0.5000, 0.0000], [0.0000, 0.0000, 0.0000]]
}

---

(3)
{
  "formula": "Ga2PtCl",
  "functional": "GGA-PBE",
  "state": "optimized geometry",
  "space_group": "No. 225",
  "formation_energy_uncorrected_ev_per_atom": -0.048,
  "dos_at_fermi_per_ev_cell": 2.8,
  "final_energy_ev_per_atom": -3.5332,
  "m_tot_mub_per_cell": 0.0,
  "lattice": [[1.3163, -4.5169, -0.5356], [-3.1882, -3.2596, -1.2776], [0.1774, -1.9174, -4.3260]],
  "species": ["Ga", "Pt", "Ga", "Cl"],
  "fractional_positions": [[0.2500, 0.2500, 0.2500], [0.5000, 0.5000, 0.5000], [0.7500, 0.7500, 0.7500], [0.0000, 0.0000, 0.0000]]
}

---

(4)
{
  "formula": "Ga3PtCl",
  "functional": "GGA-PBE",
  "state": "optimized geometry",
  "space_group": "No. 221",
  "formation_energy_uncorrected_ev_per_atom": 0.581,
  "dos_at_fermi_per_ev_cell": 1.6,
  "final_energy_ev_per_atom": -2.8128,
  "m_tot_mub_per_cell": 0.0,
  "lattice": [[5.0279, 0.0000, 0.0000], [0.0000, 5.0279, 0.0000], [0.0000, 0.0000, 5.0279]],
  "species": ["Cl", "Ga", "Ga", "Ga", "Pt"],
  "fractional_positions": [[0.0000, 0.0000, 0.0000], [0.0000, 0.0000, 0.5000], [0.5000, 0.0000, 0.0000], [0.0000, 0.5000, 0.0000], [0.5000, 0.5000, 0.5000]]
}

---

(5)
{
  "formula": "GaPt3Cl",
  "functional": "GGA-PBE",
  "state": "optimized geometry",
  "space_group": "No. 221",
  "formation_energy_uncorrected_ev_per_atom": 0.776,
  "dos_at_fermi_per_ev_cell": 1.8,
  "final_energy_ev_per_atom": -3.8230,
  "m_tot_mub_per_cell": 0.0,
  "lattice": [[-4.4126, 0.3155, -1.6251], [1.5087, -1.1376, -4.3175], [-0.6813, -4.5626, 0.9641]],
  "species": ["Pt", "Cl", "Pt", "Pt", "Ga"],
  "fractional_positions": [[0.5000, 0.0000, 0.0000], [0.5000, 0.5000, 0.5000], [0.0000, 0.0000, 0.5000], [0.0000, 0.5000, 0.0000], [0.0000, 0.0000, 0.0000]]
}

---

(6)
{
  "formula": "Ga3PtCl",
  "functional": "GGA-PBE",
  "state": "optimized geometry",
  "space_group": "No. 221",
  "formation_energy_uncorrected_ev_per_atom": -0.616,
  "dos_at_fermi_per_ev_cell": 0.0,
  "final_energy_ev_per_atom": -4.0101,
  "m_tot_mub_per_cell": 0.0,
  "lattice": [[-0.2322, 4.6366, 1.4591], [-4.8568, -0.1625, -0.2565], [-0.1957, -1.4685, 4.6353]],
  "species": ["Cl", "Ga", "Ga", "Ga", "Pt"],
  "fractional_positions": [[0.5000, 0.5000, 0.5000], [0.0000, 0.0000, 0.5000], [0.5000, 0.0000, 0.0000], [0.0000, 0.5000, 0.0000], [0.0000, 0.0000, 0.0000]]
}